Entry 1:
The following is a DFT calculation (GGA-PBE) of a relaxed Sm4CoSe2Cl crystal.

a b c (Å): 3.979 7.247 7.279
angles (deg): 108.28 90.00 90.00
Sites, in units of the cell vectors:
Cl 0.000 0.000 0.000
Se 0.000 0.500 0.500
Se 0.500 0.000 0.500
Sm 0.000 0.282 0.779
Sm 0.000 0.718 0.221
Sm 0.500 0.266 0.245
Co 0.500 0.500 0.000
Sm 0.500 0.734 0.755

Results
- E_tot (eV per atom) = -5.620
- space group = P2/m, No. 10
- energy relative to the elements, uncorrected (meV/atom) = -1269.9

=====

Entry 2:
The following is a DFT calculation (GGA-PBE) of a relaxed Sm6Co2SeCl3 crystal.

a b c (Å): 3.967 8.638 9.449
angles (deg): 106.41 102.12 90.00
Sites, in units of the cell vectors:
Se 0.500 0.000 0.000
Cl 0.500 0.500 0.000
Sm 0.021 0.259 0.043
Cl 0.160 0.849 0.320
Sm 0.671 0.145 0.342
Sm 0.671 0.569 0.342
Sm 0.329 0.855 0.658
Co 0.172 0.355 0.343
Sm 0.329 0.431 0.658
Cl 0.840 0.151 0.680
Sm 0.979 0.741 0.957
Co 0.828 0.645 0.657

Results
- E_tot (eV per atom) = -5.378
- space group = C2/m, No. 12
- energy relative to the elements, uncorrected (meV/atom) = -1081.7

=====

Entry 3:
The following is a DFT calculation (GGA-PBE) of a relaxed Sr2CoSeCl crystal.

a b c (Å): 5.589 4.184 5.589
angles (deg): 90.00 90.00 90.00
Sites, in units of the cell vectors:
Co 0.000 0.000 0.000
Sr 0.500 0.000 0.000
Cl 0.000 0.500 0.000
Se 0.500 0.500 0.500
Sr 0.000 0.000 0.500

Results
- E_tot (eV per atom) = -3.994
- space group = P4/mmm, No. 123
- energy relative to the elements, uncorrected (meV/atom) = -833.7

=====

Entry 4:
The following is a DFT calculation (GGA-PBE) of a relaxed Tb3CoSeCl crystal.

a b c (Å): 3.958 8.145 9.760
angles (deg): 93.92 90.00 90.00
Sites, in units of the cell vectors:
Cl 0.750 0.864 0.410
Co 0.250 0.567 0.102
Se 0.750 0.912 0.833
Tb 0.750 0.816 0.115
Tb 0.750 0.356 0.171
Tb 0.750 0.360 0.615
Tb 0.250 0.640 0.385
Tb 0.250 0.184 0.885
Cl 0.250 0.136 0.590
Se 0.250 0.088 0.167
Tb 0.250 0.644 0.829
Co 0.750 0.433 0.898

Results
- E_tot (eV per atom) = -5.415
- space group = P2_1/m, No. 11
- energy relative to the elements, uncorrected (meV/atom) = -1027.4

=====

Entry 5:
The following is a DFT calculation (GGA-PBE) of a relaxed Tb4CoSe2Cl crystal.

a b c (Å): 3.904 7.142 7.162
angles (deg): 107.97 90.00 90.00
Sites, in units of the cell vectors:
Co 0.500 0.500 0.000
Cl 0.000 0.000 0.000
Se 0.000 0.500 0.500
Tb 0.500 0.731 0.758
Tb 0.500 0.269 0.242
Tb 0.000 0.284 0.781
Se 0.500 0.000 0.500
Tb 0.000 0.716 0.219

Results
- E_tot (eV per atom) = -5.561
- space group = P2/m, No. 10
- energy relative to the elements, uncorrected (meV/atom) = -1255.9

=====

Entry 6:
The following is a DFT calculation (GGA-PBE) of a relaxed CoTe2SeCl crystal.

a b c (Å): 5.639 4.415 5.639
angles (deg): 90.00 90.00 90.00
Sites, in units of the cell vectors:
Se 0.000 0.000 0.000
Cl 0.500 0.500 0.500
Co 0.000 0.500 0.000
Te 0.500 0.000 0.000
Te 0.000 0.000 0.500

Results
- E_tot (eV per atom) = -3.096
- space group = P4/mmm, No. 123
- energy relative to the elements, uncorrected (meV/atom) = 648.4

=====

Entry 7:
The following is a DFT calculation (GGA-PBE) of a relaxed Th4CoSe2Cl crystal.

a b c (Å): 4.015 7.442 7.165
angles (deg): 71.26 90.00 90.00
Sites, in units of the cell vectors:
Th 0.000 0.719 0.779
Th 0.000 0.281 0.221
Th 0.500 0.263 0.755
Se 0.500 0.000 0.500
Th 0.500 0.737 0.245
Se 0.000 0.000 0.000
Co 0.500 0.500 0.000
Cl 0.000 0.500 0.500

Results
- E_tot (eV per atom) = -6.831
- space group = P2/m, No. 10
- energy relative to the elements, uncorrected (meV/atom) = -1131.3

=====

Entry 8:
The following is a DFT calculation (GGA-PBE) of a relaxed TlCoSeCl6 crystal.

a b c (Å): 7.445 6.489 7.221
angles (deg): 74.02 80.56 67.63
Sites, in units of the cell vectors:
Cl 0.347 0.659 0.194
Tl 0.940 0.030 0.922
Cl 0.709 0.918 0.327
Co 0.662 0.725 0.619
Cl 0.103 0.299 0.329
Cl 0.908 0.618 0.801
Se 0.325 0.374 0.439
Cl 0.613 0.403 0.635
Cl 0.392 0.973 0.734

Results
- E_tot (eV per atom) = -3.208
- space group = P1, No. 1
- energy relative to the elements, uncorrected (meV/atom) = -537.6

=====

- Number 4 is which compound?
  Tb3CoSeCl

=====

- Look up the energy relative to the elements, uncorrected of the seventh one.
  -1131.3 meV/atom

=====

- Number 8 is which compound?
  TlCoSeCl6